# 1
## ScTlAu2 (GGA-PBE)

Data for an optimized crystal structure of ScTlAu2.

a b c (Å): 7.825 7.825 7.825
angles (deg): 28.07 28.07 28.07
Positions (direct):
Sc (0.512, 0.512, 0.512)
Au (0.994, 0.994, 0.994)
Au (0.249, 0.249, 0.249)
Tl (0.744, 0.744, 0.744)

Results
Energy relative to the elements in eV/atom: -0.20
Energy in Ry/atom: -0.2952
M_tot in μB per cell: 0.0

=====

# 2
## Sc2Tl2Au (GGA-PBE)

Data for an optimized crystal structure of Sc2Tl2Au.

a b c (Å): 7.394 7.394 4.244
angles (deg): 90.00 90.00 90.00
Positions (direct):
Sc (0.836, 0.336, 0.500)
Sc (0.664, 0.836, 0.500)
Sc (0.336, 0.164, 0.500)
Sc (0.164, 0.664, 0.500)
Au (0.500, 0.500, 0.000)
Au (0.000, 0.000, 0.000)
Tl (0.641, 0.141, 0.000)
Tl (0.141, 0.359, 0.000)
Tl (0.859, 0.641, 0.000)
Tl (0.359, 0.859, 0.000)

Results
Energy relative to the elements in eV/atom: -0.21
Energy in Ry/atom: -0.3193
M_tot in μB per cell: 0.0

=====

# 3
## ScTl2Au (GGA-PBE)

Data for an optimized crystal structure of ScTl2Au.

a b c (Å): 5.599 5.599 5.599
angles (deg): 133.16 133.16 68.40
Positions (direct):
Tl (0.000, 0.000, 0.000)
Tl (0.250, 0.750, 0.500)
Sc (0.750, 0.250, 0.500)
Au (0.500, 0.500, 0.000)

Results
Energy relative to the elements in eV/atom: -0.17
Energy in Ry/atom: -0.2763
M_tot in μB per cell: 0.0

=====

# 4
## ScTlAu2 (GGA-PBE)

Data for an optimized crystal structure of ScTlAu2.

a b c (Å): 5.050 5.050 5.050
angles (deg): 126.39 126.44 79.21
Positions (direct):
Au (0.000, 0.000, 0.000)
Au (0.750, 0.250, 0.500)
Tl (0.250, 0.750, 0.500)
Sc (0.500, 0.500, 0.000)

Results
Energy relative to the elements in eV/atom: -0.36
Energy in Ry/atom: -0.3067
M_tot in μB per cell: 0.0

=====

# 5
## Sc5Tl2Au2 (GGA-PBE)

Data for an optimized crystal structure of Sc5Tl2Au2.

a b c (Å): 6.934 8.162 8.420
angles (deg): 118.99 90.00 90.00
Positions (direct):
Sc (0.158, 0.445, 0.254)
Sc (0.842, 0.555, 0.746)
Sc (0.158, 0.192, 0.746)
Sc (0.658, 0.308, 0.254)
Sc (0.500, 0.500, 0.000)
Sc (0.842, 0.808, 0.254)
Sc (0.342, 0.945, 0.254)
Sc (0.000, 0.000, 0.000)
Sc (0.658, 0.055, 0.746)
Sc (0.342, 0.692, 0.746)
Tl (0.000, 0.788, 0.576)
Tl (0.000, 0.212, 0.424)
Tl (0.500, 0.288, 0.576)
Tl (0.500, 0.712, 0.424)
Au (0.634, 0.868, 0.000)
Au (0.134, 0.632, 0.000)
Au (0.866, 0.368, 0.000)
Au (0.366, 0.132, 0.000)

Results
Energy relative to the elements in eV/atom: -0.46
Energy in Ry/atom: -0.3845
M_tot in μB per cell: 0.0

=====

# 6
## ScTlAu2 (GGA-PBE)

Data for an optimized crystal structure of ScTlAu2.

a b c (Å): 5.068 5.068 5.032
angles (deg): 74.73 74.73 43.08
Positions (direct):
Au (0.753, 0.753, 0.730)
Au (0.005, 0.005, 0.988)
Sc (0.488, 0.488, 0.550)
Tl (0.253, 0.253, 0.232)

Results
Energy relative to the elements in eV/atom: -0.36
Energy in Ry/atom: -0.3069
M_tot in μB per cell: 0.0

=====

# 7
## ScTl2Au (GGA-PBE)

Data for an optimized crystal structure of ScTl2Au.

a b c (Å): 5.047 5.047 5.047
angles (deg): 60.00 60.00 60.00
Positions (direct):
Au (0.500, 0.500, 0.500)
Sc (0.000, 0.000, 0.000)
Tl (0.250, 0.250, 0.250)
Tl (0.750, 0.750, 0.750)

Results
Energy relative to the elements in eV/atom: -0.09
Energy in Ry/atom: -0.2705
M_tot in μB per cell: 0.0

=====

# 8
## ScTl2Au (GGA-PBE)

Data for an optimized crystal structure of ScTl2Au.

a b c (Å): 9.486 9.486 9.486
angles (deg): 21.69 21.69 21.69
Positions (direct):
Tl (0.243, 0.243, 0.243)
Tl (0.006, 0.006, 0.006)
Sc (0.760, 0.760, 0.760)
Au (0.491, 0.491, 0.491)

Results
Energy relative to the elements in eV/atom: -0.19
Energy in Ry/atom: -0.2777
M_tot in μB per cell: 0.0